Entry 1:
The following is a PBE calculation of crystalline Hf31ScO64 at its relaxed geometry, from OQMD via LeMat-Bulk. Values from VASP.

Computed properties:
Crystal system: triclinic
Calculated total energy (eV/atom): -10.080

Cell and atoms, written as Quantum ESPRESSO input:
```
&SYSTEM
  ibrav = 0, nat = 96, ntyp = 3
/
ATOMIC_SPECIES
Hf 178.49 Hf.upf
O 16.00 O.upf
Sc 44.96 Sc.upf
CELL_PARAMETERS angstrom
-4.990 -4.950 -7.168
-1.733 -7.568 6.434
-8.869 4.593 3.008
ATOMIC_POSITIONS crystal
Hf 0.492 0.874 0.108
Hf 0.989 0.378 0.108
Hf 0.492 0.375 0.109
Hf 0.989 0.874 0.109
Hf 0.258 0.125 0.141
Hf 0.259 0.625 0.141
Hf 0.759 0.126 0.142
Hf 0.759 0.377 0.357
Hf 0.759 0.874 0.357
Hf 0.258 0.875 0.358
Hf 0.259 0.375 0.358
Hf 0.989 0.626 0.389
Hf 0.491 0.626 0.390
Hf 0.990 0.126 0.391
Hf 0.491 0.125 0.391
Hf 0.991 0.376 0.608
Hf 0.991 0.876 0.608
Hf 0.491 0.376 0.609
Hf 0.491 0.876 0.609
Hf 0.760 0.626 0.641
Hf 0.259 0.626 0.641
Hf 0.259 0.126 0.641
Hf 0.759 0.126 0.641
Hf 0.258 0.876 0.859
Hf 0.259 0.376 0.859
Hf 0.760 0.377 0.859
Hf 0.760 0.876 0.859
Hf 0.491 0.126 0.891
Hf 0.990 0.626 0.892
Hf 0.991 0.126 0.892
Hf 0.491 0.626 0.892
O 0.855 0.500 0.005
O 0.355 0.500 0.008
O 0.355 0.999 0.008
O 0.854 0.001 0.008
O 0.589 0.697 0.057
O 0.589 0.194 0.059
O 0.090 0.196 0.059
O 0.090 0.695 0.059
O 0.161 0.444 0.191
O 0.160 0.944 0.191
O 0.660 0.947 0.191
O 0.659 0.440 0.193
O 0.394 0.750 0.241
O 0.395 0.249 0.242
O 0.896 0.250 0.242
O 0.898 0.752 0.245
O 0.895 0.001 0.257
O 0.897 0.499 0.258
O 0.395 0.500 0.258
O 0.395 0.999 0.258
O 0.160 0.194 0.309
O 0.161 0.694 0.309
O 0.658 0.698 0.309
O 0.661 0.194 0.310
O 0.090 0.945 0.441
O 0.090 0.445 0.441
O 0.590 0.945 0.442
O 0.590 0.446 0.442
O 0.355 0.750 0.492
O 0.355 0.250 0.492
O 0.855 0.250 0.492
O 0.854 0.750 0.493
O 0.855 0.500 0.507
O 0.855 0.000 0.508
O 0.354 0.500 0.508
O 0.354 0.000 0.508
O 0.090 0.695 0.558
O 0.090 0.195 0.558
O 0.589 0.195 0.559
O 0.589 0.695 0.559
O 0.160 0.945 0.691
O 0.660 0.945 0.691
O 0.160 0.445 0.691
O 0.660 0.445 0.692
O 0.895 0.750 0.741
O 0.395 0.250 0.742
O 0.395 0.750 0.742
O 0.896 0.250 0.742
O 0.896 0.501 0.756
O 0.395 0.500 0.758
O 0.395 0.000 0.758
O 0.896 0.000 0.758
O 0.160 0.696 0.808
O 0.660 0.695 0.808
O 0.160 0.195 0.808
O 0.661 0.195 0.809
O 0.590 0.945 0.941
O 0.589 0.444 0.941
O 0.091 0.446 0.942
O 0.090 0.946 0.942
O 0.858 0.753 0.989
O 0.353 0.750 0.992
O 0.354 0.249 0.992
O 0.854 0.250 0.993
Sc 0.759 0.624 0.141
```

---

Entry 2:
The following is a PBE calculation of crystalline Hf4SeO at its relaxed geometry, from OQMD via LeMat-Bulk. Values from VASP.

Computed properties:
Crystal system: hexagonal
Calculated total energy (eV/atom): -9.181

Cell and atoms, written as Quantum ESPRESSO input:
```
&SYSTEM
  ibrav = 0, nat = 6, ntyp = 3
/
ATOMIC_SPECIES
Hf 178.49 Hf.upf
O 16.00 O.upf
Se 78.96 Se.upf
CELL_PARAMETERS angstrom
3.289 0.000 0.000
-1.645 2.849 0.000
0.000 0.000 11.630
ATOMIC_POSITIONS crystal
Hf 0.333 0.667 0.129
Hf 0.667 0.333 0.332
Hf 0.667 0.333 0.668
Hf 0.333 0.667 0.871
O 0.000 0.000 0.000
Se 0.000 0.000 0.500
```

---

Entry 3:
The following is a PBE calculation of crystalline Hf31SeO64 at its relaxed geometry, from OQMD via LeMat-Bulk. Values from VASP.

Computed properties:
Crystal system: triclinic
Distance to the lowest polymorph of the same formula (eV/f.u.): 2.82
Calculated total energy (eV/atom): -9.981

Cell and atoms, written as Quantum ESPRESSO input:
```
&SYSTEM
  ibrav = 0, nat = 96, ntyp = 3
/
ATOMIC_SPECIES
Hf 178.49 Hf.upf
O 16.00 O.upf
Se 78.96 Se.upf
CELL_PARAMETERS angstrom
-8.455 2.972 4.492
-5.344 -3.026 -7.991
-1.065 -9.471 4.298
ATOMIC_POSITIONS crystal
Hf 0.484 0.371 0.104
Hf 0.988 0.873 0.108
Hf 0.987 0.381 0.108
Hf 0.491 0.879 0.111
Hf 0.254 0.123 0.140
Hf 0.759 0.128 0.141
Hf 0.259 0.625 0.142
Hf 0.257 0.374 0.357
Hf 0.766 0.877 0.357
Hf 0.258 0.875 0.358
Hf 0.763 0.376 0.363
Hf 0.990 0.628 0.390
Hf 0.492 0.125 0.390
Hf 0.992 0.126 0.392
Hf 0.485 0.623 0.394
Hf 0.493 0.876 0.607
Hf 0.492 0.374 0.607
Hf 0.992 0.376 0.609
Hf 0.992 0.876 0.609
Hf 0.259 0.124 0.641
Hf 0.759 0.627 0.641
Hf 0.257 0.627 0.642
Hf 0.759 0.125 0.643
Hf 0.256 0.375 0.857
Hf 0.759 0.378 0.858
Hf 0.762 0.877 0.859
Hf 0.259 0.874 0.860
Hf 0.491 0.621 0.887
Hf 0.492 0.123 0.890
Hf 0.989 0.627 0.892
Hf 0.991 0.127 0.893
O 0.851 0.501 0.002
O 0.352 0.498 0.006
O 0.855 0.004 0.008
O 0.356 0.999 0.009
O 0.094 0.696 0.058
O 0.588 0.194 0.058
O 0.088 0.199 0.059
O 0.590 0.681 0.066
O 0.657 0.455 0.189
O 0.159 0.446 0.191
O 0.160 0.943 0.192
O 0.662 0.944 0.192
O 0.392 0.247 0.239
O 0.894 0.253 0.242
O 0.399 0.749 0.243
O 0.910 0.761 0.255
O 0.396 0.497 0.256
O 0.894 0.006 0.257
O 0.396 0.999 0.257
O 0.894 0.500 0.261
O 0.664 0.687 0.304
O 0.657 0.203 0.305
O 0.160 0.194 0.308
O 0.167 0.691 0.311
O 0.591 0.944 0.440
O 0.590 0.445 0.440
O 0.089 0.443 0.441
O 0.090 0.946 0.442
O 0.356 0.250 0.490
O 0.855 0.251 0.493
O 0.354 0.750 0.493
O 0.852 0.750 0.494
O 0.355 0.500 0.507
O 0.856 0.001 0.507
O 0.356 0.000 0.507
O 0.855 0.501 0.509
O 0.590 0.695 0.554
O 0.591 0.195 0.557
O 0.089 0.696 0.558
O 0.090 0.195 0.559
O 0.161 0.446 0.691
O 0.661 0.945 0.691
O 0.659 0.446 0.691
O 0.162 0.944 0.692
O 0.894 0.750 0.739
O 0.396 0.249 0.740
O 0.397 0.749 0.741
O 0.895 0.251 0.743
O 0.895 0.501 0.756
O 0.394 0.499 0.757
O 0.897 0.001 0.758
O 0.396 0.999 0.758
O 0.160 0.196 0.808
O 0.661 0.194 0.809
O 0.161 0.696 0.809
O 0.661 0.694 0.810
O 0.586 0.440 0.940
O 0.088 0.445 0.941
O 0.094 0.951 0.943
O 0.590 0.941 0.943
O 0.866 0.760 0.983
O 0.354 0.249 0.990
O 0.364 0.749 0.992
O 0.853 0.252 0.993
Se 0.731 0.615 0.152
```

---

Entry 4:
The following is a PBE calculation of crystalline Hf31SeO64 at its relaxed geometry, from OQMD via LeMat-Bulk. Values from VASP.

Computed properties:
Crystal system: triclinic
Distance to the lowest polymorph of the same formula (eV/f.u.): 0.00
Calculated total energy (eV/atom): -10.010

Cell and atoms, written as Quantum ESPRESSO input:
```
&SYSTEM
  ibrav = 0, nat = 96, ntyp = 3
/
ATOMIC_SPECIES
Hf 178.49 Hf.upf
O 16.00 O.upf
Se 78.96 Se.upf
CELL_PARAMETERS angstrom
-2.952 -9.691 1.209
8.245 -3.203 -5.293
4.960 -2.223 9.064
ATOMIC_POSITIONS crystal
Hf 0.238 0.604 0.104
Hf 0.241 0.104 0.104
Hf 0.736 0.104 0.105
Hf 0.018 0.352 0.144
Hf 0.516 0.358 0.146
Hf 0.517 0.850 0.146
Hf 0.014 0.859 0.149
Hf 0.237 0.895 0.353
Hf 0.237 0.396 0.354
Hf 0.734 0.893 0.354
Hf 0.731 0.397 0.356
Hf 0.516 0.645 0.393
Hf 0.512 0.146 0.395
Hf 0.010 0.148 0.395
Hf 0.012 0.646 0.396
Hf 0.238 0.604 0.601
Hf 0.736 0.103 0.603
Hf 0.235 0.104 0.603
Hf 0.736 0.605 0.605
Hf 0.013 0.855 0.645
Hf 0.512 0.354 0.645
Hf 0.012 0.355 0.646
Hf 0.513 0.853 0.647
Hf 0.730 0.393 0.853
Hf 0.238 0.898 0.853
Hf 0.238 0.396 0.854
Hf 0.736 0.896 0.855
Hf 0.024 0.648 0.889
Hf 0.013 0.147 0.896
Hf 0.514 0.146 0.898
Hf 0.516 0.646 0.898
O 0.594 0.489 0.001
O 0.098 0.497 0.009
O 0.100 0.998 0.011
O 0.599 0.997 0.011
O 0.408 0.710 0.077
O 0.411 0.211 0.077
O 0.909 0.212 0.077
O 0.912 0.701 0.078
O 0.840 0.467 0.170
O 0.840 0.957 0.171
O 0.340 0.459 0.172
O 0.342 0.959 0.173
O 0.151 0.246 0.239
O 0.150 0.746 0.239
O 0.653 0.247 0.240
O 0.647 0.752 0.248
O 0.098 0.503 0.260
O 0.097 0.003 0.260
O 0.598 0.005 0.260
O 0.589 0.494 0.270
O 0.908 0.294 0.322
O 0.405 0.786 0.325
O 0.406 0.287 0.326
O 0.909 0.791 0.327
O 0.839 0.042 0.422
O 0.340 0.540 0.422
O 0.840 0.539 0.424
O 0.341 0.039 0.424
O 0.149 0.254 0.489
O 0.150 0.754 0.489
O 0.649 0.254 0.490
O 0.652 0.753 0.493
O 0.097 0.997 0.510
O 0.098 0.496 0.510
O 0.598 0.996 0.511
O 0.599 0.497 0.513
O 0.906 0.214 0.575
O 0.409 0.711 0.575
O 0.909 0.711 0.577
O 0.408 0.210 0.577
O 0.340 0.459 0.672
O 0.841 0.960 0.673
O 0.341 0.961 0.674
O 0.843 0.466 0.680
O 0.154 0.748 0.738
O 0.150 0.247 0.739
O 0.652 0.247 0.740
O 0.652 0.747 0.740
O 0.598 0.504 0.758
O 0.099 0.505 0.759
O 0.098 0.004 0.760
O 0.599 0.004 0.761
O 0.408 0.790 0.827
O 0.410 0.291 0.827
O 0.908 0.292 0.828
O 0.910 0.788 0.828
O 0.338 0.543 0.921
O 0.342 0.041 0.923
O 0.842 0.040 0.924
O 0.843 0.539 0.932
O 0.649 0.758 0.987
O 0.147 0.756 0.990
O 0.153 0.254 0.990
O 0.654 0.251 0.990
Se 0.769 0.598 0.090
```

---

Entry 5:
The following is a PBE calculation of crystalline Sr2HfSeO6 at its relaxed geometry, from OQMD via LeMat-Bulk. Values from VASP.

Computed properties:
Crystal system: trigonal
Calculated total energy (eV/atom): -7.076

Cell and atoms, written as Quantum ESPRESSO input:
```
&SYSTEM
  ibrav = 0, nat = 10, ntyp = 4
/
ATOMIC_SPECIES
Hf 178.49 Hf.upf
O 16.00 O.upf
Se 78.96 Se.upf
Sr 87.62 Sr.upf
CELL_PARAMETERS angstrom
-3.483 4.246 1.448
0.731 2.616 4.988
1.988 5.320 0.083
ATOMIC_POSITIONS crystal
Hf 0.499 0.499 0.499
O 0.751 0.310 0.186
O 0.689 0.812 0.249
O 0.186 0.751 0.310
O 0.812 0.249 0.689
O 0.310 0.186 0.751
O 0.249 0.689 0.812
Se 0.000 0.000 0.000
Sr 0.249 0.249 0.249
Sr 0.750 0.750 0.750
```

---

Entry 6:
The following is a PBE calculation of crystalline Sr2HfSeO6 at its relaxed geometry, from OQMD via LeMat-Bulk. Values from VASP.

Computed properties:
Crystal system: triclinic
Calculated total energy (eV/atom): -7.077

Cell and atoms, written as Quantum ESPRESSO input:
```
&SYSTEM
  ibrav = 0, nat = 10, ntyp = 4
/
ATOMIC_SPECIES
Hf 178.49 Hf.upf
O 16.00 O.upf
Se 78.96 Se.upf
Sr 87.62 Sr.upf
CELL_PARAMETERS angstrom
-0.827 1.925 5.281
-5.303 0.675 1.957
-2.023 -3.551 3.969
ATOMIC_POSITIONS crystal
Hf 0.000 0.500 0.000
O 0.324 0.253 0.178
O 0.798 0.199 0.284
O 0.778 0.706 0.297
O 0.222 0.294 0.703
O 0.202 0.801 0.716
O 0.676 0.747 0.822
Se 0.500 0.000 0.500
Sr 0.244 0.749 0.257
Sr 0.756 0.251 0.743
```

---

- What is the calculated total energy in the sixth record?
  -7.077 eV/atom